1.
First-principles (PBE) data for a geometry-optimized YNbSi3 structure, as listed in Alexandria.

The calculation puts the density of states at the Fermi level at 1.978 states/eV per atom. The calculation puts the total DFT energy (no corrections) at -4.947 eV/atom. Its raw formation energy is 1.614 eV/atom.

The structure belongs to space group Pm-3m (No. 221); the cell edges are 4.983, 4.983 and 4.983 Å and the angles 90.00°, 90.00° and 90.00°. The inequivalent atoms are Y at (0.000, 0.000, 0.000), Nb at (0.500, 0.500, 0.500) and Si at (0.000, 0.000, 0.500).

2.
First-principles (PBE) data for a geometry-optimized Ac6ZnCo2I3 structure, as listed in Alexandria.

The calculation puts the density of states at the Fermi level at 0.597 states/eV per atom. The calculation puts the total DFT energy (no corrections) at -4.344 eV/atom. Its raw formation energy is -0.612 eV/atom.

The structure belongs to space group C2/m (No. 12); the cell edges are 7.621, 13.188 and 8.974 Å and the angles 90.00°, 106.48° and 90.00°. The inequivalent atoms are Ac at (0.203, 0.000, 0.185), Ac at (0.242, 0.320, 0.186), Zn at (0.000, 0.500, 0.000), Co at (0.000, 0.167, 0.000), I at (0.000, 0.000, 0.500) and I at (0.000, 0.337, 0.500).

3.
First-principles (PBE) data for a geometry-optimized RbCaBe2Tl structure, as listed in Alexandria.

The calculation puts the density of states at the Fermi level at 1.235 states/eV per atom. The calculation puts the formation energy at 6.59 eV/f.u. The calculation puts the total DFT energy (no corrections) at -1.240 eV/atom.

The structure belongs to space group P4/mmm (No. 123); the cell edges are 5.503, 5.503 and 6.571 Å and the angles 90.00°, 90.00° and 90.00°. The inequivalent atoms are Rb at (0.000, 0.000, 0.000), Ca at (0.000, 0.000, 0.500), Be at (0.000, 0.500, 0.500) and Tl at (0.500, 0.500, 0.000).

4.
First-principles (PBE) data for a geometry-optimized SrPr2Ni9 structure, as listed in Alexandria.

The calculation puts the density of states at the Fermi level at 0.993 states/eV per atom. The calculation puts the formation energy at -2.23 eV/f.u. The calculation puts the total DFT energy (no corrections) at -5.458 eV/atom.

The structure belongs to space group R-3m (No. 166, hexagonal axes); the cell edges are 5.1118, 5.1118 and 24.6293 Å and the angles 90.00°, 90.00° and 120.00°. The inequivalent atoms are Sr at (0.0000, 0.0000, 0.0000), Pr at (0.0000, 0.0000, 0.1382), Ni at (0.0000, 0.0000, 0.3322), Ni at (0.0000, 0.0000, 0.5000) and Ni at (0.0012, 0.5006, 0.0809).

5.
First-principles (PBE) data for a geometry-optimized Ce2SmTlC structure, as listed in Alexandria.

The calculation puts the density of states at the Fermi level at 1.789 states/eV per atom. The calculation puts the formation energy at -1.44 eV/f.u. The calculation puts the total DFT energy (no corrections) at -5.924 eV/atom.

The structure belongs to space group P4/mmm (No. 123); the cell edges are 4.957, 4.957 and 5.129 Å and the angles 90.00°, 90.00° and 90.00°. The inequivalent atoms are Ce at (0.000, 0.500, 0.000), Sm at (0.000, 0.000, 0.500), Tl at (0.500, 0.500, 0.500) and C at (0.000, 0.000, 0.000).

6.
First-principles (PBE) data for a geometry-optimized SbPt2Br structure, as listed in Alexandria.

The calculation puts the density of states at the Fermi level at 0.367 states/eV per atom. The calculation puts the total DFT energy (no corrections) at -4.303 eV/atom. Its raw formation energy is 0.166 eV/atom.

The structure belongs to space group P4/mmm (No. 123); the cell edges are 3.538, 3.538 and 6.648 Å and the angles 90.00°, 90.00° and 90.00°. The inequivalent atoms are Sb at (0.000, 0.000, 0.000), Pt at (0.500, 0.500, 0.204) and Br at (0.000, 0.000, 0.500).

7.
First-principles (PBE) data for a geometry-optimized YGa4Ni4 structure, as listed in Alexandria.

The calculation puts the density of states at the Fermi level at 0.577 states/eV per atom. The calculation puts the formation energy at -2.54 eV/f.u. The calculation puts the total DFT energy (no corrections) at -4.915 eV/atom.

The structure belongs to space group P4_2/n (No. 86, origin choice 2); the cell edges are 7.877, 7.877 and 4.420 Å and the angles 90.00°, 90.00° and 90.00°. The inequivalent atoms are Y at (0.250, 0.250, 0.250), Ga at (0.113, 0.844, 0.744) and Ni at (0.022, 0.131, 0.756).

8.
First-principles (PBE) data for a geometry-optimized Ce3As4Rh2 structure, as listed in Alexandria.

The calculation puts the density of states at the Fermi level at 1.235 states/eV per atom. The calculation puts the formation energy at -9.63 eV/f.u. The calculation puts the total DFT energy (no corrections) at -6.748 eV/atom.

The structure belongs to space group C2/m (No. 12); the cell edges are 11.722, 4.261 and 8.582 Å and the angles 90.00°, 116.88° and 90.00°. The inequivalent atoms are Ce at (0.000, 0.000, 0.000), Ce at (0.137, 0.500, 0.715), As at (0.080, 0.000, 0.392), As at (0.186, 0.500, 0.092) and Rh at (0.183, 0.500, 0.380).